1.
A geometry-optimized CrOs2Ru3 structure, computed with PBE.

Calculated values
Its energy of formation is 1.2 eV per formula unit. The space-group type is P-1 (2).

a b c (Å): 5.124 6.973 4.988
angles (deg): 102.68 77.74 96.66
Sites, in units of the cell vectors:
Cr  0.860  0.064  0.233
Cr  0.140  0.936  0.767
Os  0.386  0.615  0.394
Os  0.210  0.617  0.929
Os  0.790  0.383  0.071
Os  0.614  0.385  0.606
Ru  0.657  0.039  0.744
Ru  0.343  0.961  0.256
Ru  0.723  0.727  0.958
Ru  0.105  0.273  0.582
Ru  0.895  0.727  0.418
Ru  0.277  0.273  0.042

2.
A geometry-optimized Cr2Os4Ru3 structure, computed with PBE.

Calculated values
Its energy of formation is 2.6 eV per formula unit. The space-group type is C2/c (15).

a b c (Å): 9.778 4.498 6.925
angles (deg): 108.95 115.32 90.00
Sites, in units of the cell vectors:
Cr  0.516  0.628  0.341
Cr  0.984  0.287  0.659
Cr  0.484  0.372  0.659
Cr  0.016  0.713  0.341
Os  0.564  0.812  0.087
Os  0.936  0.724  0.913
Os  0.436  0.188  0.913
Os  0.064  0.276  0.087
Os  0.813  0.731  0.472
Os  0.687  0.260  0.528
Os  0.187  0.269  0.528
Os  0.313  0.740  0.472
Ru  0.154  0.891  0.753
Ru  0.346  0.138  0.247
Ru  0.846  0.109  0.247
Ru  0.654  0.862  0.753
Ru  0.750  0.466  0.000
Ru  0.250  0.534  0.000

3.
A geometry-optimized CrOsRu2 structure, computed with PBE.

Calculated values
Its energy of formation is 0.4 eV per formula unit. The space-group type is P4/mmm (123). For the energy above the most stable polymorph in this dataset, the calculation gives 14.2 meV per atom.

a b c (Å): 3.784 3.791 3.791
angles (deg): 90.00 90.00 90.00
Sites, in units of the cell vectors:
Ru  0.000  0.000  0.000
Ru  0.000  0.500  0.500
Os  0.500  0.000  0.500
Cr  0.500  0.500  0.000

4.
A geometry-optimized CrOsRu2 structure, computed with PBE.

Calculated values
Its energy of formation is 0.4 eV per formula unit. The space-group type is I4/mmm (139). For the energy above the most stable polymorph in this dataset, the calculation gives 6.6 meV per atom.

a b c (Å): 4.650 4.650 4.650
angles (deg): 132.09 132.09 70.09
Sites, in units of the cell vectors:
Cr  0.250  0.750  0.500
Os  0.750  0.250  0.500
Ru  0.000  0.000  0.000
Ru  0.500  0.500  0.000

5.
A geometry-optimized CrOsRu2 structure, computed with PBE.

Calculated values
Its energy of formation is 1.3 eV per formula unit. The space-group type is Immm (71). For the energy above the most stable polymorph in this dataset, the calculation gives 240.4 meV per atom.

a b c (Å): 5.212 5.212 5.212
angles (deg): 148.78 130.61 59.59
Sites, in units of the cell vectors:
Cr  0.250  0.750  0.500
Os  0.750  0.250  0.500
Ru  0.028  0.028  0.000
Ru  0.472  0.472  0.000

6.
A geometry-optimized CrOsRu4 structure, computed with PBE.

Calculated values
Its energy of formation is 0.0 eV per formula unit. The space-group type is Amm2 (38). For the energy above the most stable polymorph in this dataset, the calculation gives 0.0 meV per atom.

a b c (Å): 2.721 4.289 7.148
angles (deg): 90.00 100.97 90.00
Sites, in units of the cell vectors:
Cr  0.615  0.003  0.475
Os  0.393  0.503  0.031
Ru  0.277  0.003  0.799
Ru  0.950  0.003  0.145
Ru  0.062  0.503  0.369
Ru  0.723  0.503  0.692

7.
A geometry-optimized CrOsRu2 structure, computed with PBE.

Calculated values
Its energy of formation is 2.9 eV per formula unit. The space-group type is I-42d (122). For the energy above the most stable polymorph in this dataset, the calculation gives 649.1 meV per atom.

a b c (Å): 3.706 3.706 9.039
angles (deg): 78.17 78.17 90.00
Sites, in units of the cell vectors:
Ru  0.607  0.125  0.250
Ru  0.143  0.625  0.250
Ru  0.375  0.393  0.750
Ru  0.875  0.857  0.750
Os  0.000  0.000  0.000
Os  0.750  0.250  0.500
Cr  0.500  0.500  0.000
Cr  0.250  0.750  0.500

8.
A geometry-optimized CrOsRu structure, computed with PBE.

Calculated values
Its energy of formation is 0.5 eV per formula unit. The space-group type is P-1 (2). For the energy above the most stable polymorph in this dataset, the calculation gives 67.2 meV per atom.

a b c (Å): 2.733 5.073 6.171
angles (deg): 85.57 90.27 74.44
Sites, in units of the cell vectors:
Cr  0.264  0.468  0.849
Cr  0.731  0.529  0.156
Os  0.543  0.915  0.817
Os  0.453  0.082  0.187
Ru  0.867  0.259  0.541
Ru  0.128  0.737  0.463

9.
A geometry-optimized CrOs3Ru2 structure, computed with PBE.

Calculated values
Its energy of formation is 1.1 eV per formula unit. The space-group type is C2/c (15).

a b c (Å): 5.034 5.034 6.872
angles (deg): 80.88 80.88 94.06
Sites, in units of the cell vectors:
Cr  0.919  0.081  0.750
Cr  0.081  0.919  0.250
Os  0.406  0.594  0.250
Os  0.594  0.406  0.750
Os  0.837  0.679  0.997
Os  0.321  0.163  0.503
Os  0.679  0.837  0.497
Os  0.163  0.321  0.003
Ru  0.124  0.623  0.626
Ru  0.623  0.124  0.126
Ru  0.377  0.876  0.874
Ru  0.876  0.377  0.374

10.
A geometry-optimized CrOsRu2 structure, computed with PBE.

Calculated values
Its energy of formation is 0.5 eV per formula unit. The space-group type is P4mm (99). For the energy above the most stable polymorph in this dataset, the calculation gives 34.3 meV per atom.

a b c (Å): 2.687 2.687 7.517
angles (deg): 90.00 90.00 90.00
Sites, in units of the cell vectors:
Cr  0.000  0.000  0.498
Os  0.500  0.500  0.742
Ru  0.000  0.000  0.999
Ru  0.500  0.500  0.261

11.
A geometry-optimized CrOsRu structure, computed with PBE.

Calculated values
Its energy of formation is 1.3 eV per formula unit. The space-group type is Fdd2 (43). For the energy above the most stable polymorph in this dataset, the calculation gives 355.2 meV per atom.

a b c (Å): 6.252 5.902 6.252
angles (deg): 65.17 78.04 114.83
Sites, in units of the cell vectors:
Os  0.908  0.220  0.468
Os  0.938  0.280  0.938
Os  0.782  0.720  0.342
Os  0.312  0.780  0.312
Cr  0.982  0.786  0.618
Cr  0.632  0.286  0.268
Cr  0.596  0.214  0.804
Cr  0.446  0.714  0.654
Ru  0.290  0.262  0.604
Ru  0.646  0.762  0.960
Ru  0.278  0.238  0.117
Ru  0.133  0.738  0.972

12.
A geometry-optimized CrOs6Ru2 structure, computed with PBE.

Calculated values
Its energy of formation is 3.2 eV per formula unit. The space-group type is C2/c (15).

a b c (Å): 5.117 7.229 7.229
angles (deg): 90.32 97.37 97.37
Sites, in units of the cell vectors:
Cr  0.250  0.892  0.108
Cr  0.750  0.108  0.892
Os  0.497  0.327  0.735
Os  0.003  0.265  0.673
Os  0.503  0.673  0.265
Os  0.997  0.735  0.327
Os  0.741  0.934  0.538
Os  0.759  0.462  0.066
Os  0.259  0.066  0.462
Os  0.241  0.538  0.934
Os  0.331  0.213  0.086
Os  0.169  0.914  0.787
Os  0.669  0.787  0.914
Os  0.831  0.086  0.213
Ru  0.137  0.399  0.332
Ru  0.363  0.668  0.601
Ru  0.863  0.601  0.668
Ru  0.637  0.332  0.399

13.
A geometry-optimized CrOsRu2 structure, computed with PBE.

Calculated values
Its energy of formation is 1.5 eV per formula unit. The space-group type is R3m (160). For the energy above the most stable polymorph in this dataset, the calculation gives 299.7 meV per atom.

a b c (Å): 4.120 4.120 4.571
angles (deg): 63.21 63.21 60.00
Sites, in units of the cell vectors:
Cr  0.709  0.709  0.872
Os  0.490  0.490  0.529
Ru  0.039  0.039  0.882
Ru  0.261  0.261  0.217

14.
A geometry-optimized CrOsRu2 structure, computed with PBE.

Calculated values
Its energy of formation is 0.3 eV per formula unit. The space-group type is Immm (71). For the energy above the most stable polymorph in this dataset, the calculation gives 0.0 meV per atom.

a b c (Å): 2.691 6.547 8.663
angles (deg): 57.74 71.88 101.85
Sites, in units of the cell vectors:
Cr  0.510  0.752  0.056
Cr  0.551  0.793  0.536
Os  0.030  0.272  0.796
Os  0.530  0.272  0.296
Ru  0.029  0.006  0.164
Ru  0.031  0.538  0.428
Ru  0.500  0.006  0.694
Ru  0.561  0.538  0.898

15.
A geometry-optimized CrOsRu2 structure, computed with PBE.

Calculated values
Its energy of formation is 2.1 eV per formula unit. The space-group type is Fm-3m (225). For the energy above the most stable polymorph in this dataset, the calculation gives 439.2 meV per atom.

a b c (Å): 4.282 4.282 4.282
angles (deg): 60.00 60.00 60.00
Sites, in units of the cell vectors:
Ru  0.250  0.250  0.250
Ru  0.750  0.750  0.750
Os  0.500  0.500  0.500
Cr  0.000  0.000  0.000

16.
A geometry-optimized CrOs2Ru6 structure, computed with PBE.

Calculated values
Its energy of formation is 0.3 eV per formula unit. The space-group type is C2/m (12).

a b c (Å): 2.719 6.664 8.586
angles (deg): 125.55 80.93 89.99
Sites, in units of the cell vectors:
Cr  0.000  0.000  0.000
Os  0.408  0.852  0.183
Os  0.592  0.148  0.817
Ru  0.927  0.481  0.146
Ru  0.073  0.519  0.854
Ru  0.665  0.672  0.671
Ru  0.741  0.181  0.518
Ru  0.259  0.819  0.482
Ru  0.335  0.328  0.329

17.
A geometry-optimized Cr2Os4Ru structure, computed with PBE.

Calculated values
Its energy of formation is 0.4 eV per formula unit. The space-group type is C2/m (12).

a b c (Å): 2.709 6.302 6.623
angles (deg): 119.96 78.22 102.40
Sites, in units of the cell vectors:
Cr  0.934  0.302  0.435
Cr  0.066  0.698  0.565
Os  0.295  0.887  0.297
Os  0.705  0.113  0.703
Os  0.358  0.550  0.834
Os  0.642  0.450  0.166
Ru  0.000  0.000  0.000

18.
A geometry-optimized CrOsRu3 structure, computed with PBE.

Calculated values
Its energy of formation is 8.0 eV per formula unit. The space-group type is Pm-3m (221). For the energy above the most stable polymorph in this dataset, the calculation gives 1604.1 meV per atom.

a b c (Å): 4.328 4.328 4.328
angles (deg): 90.00 90.00 90.00
Sites, in units of the cell vectors:
Ru  0.000  0.500  0.000
Ru  0.000  0.000  0.500
Ru  0.500  0.000  0.000
Os  0.500  0.500  0.500
Cr  0.000  0.000  0.000

19.
A geometry-optimized CrOs2Ru5 structure, computed with PBE.

Calculated values
Its energy of formation is -0.2 eV per formula unit. The space-group type is Fmm2 (42).

a b c (Å): 5.442 5.442 5.083
angles (deg): 105.50 105.50 120.05
Sites, in units of the cell vectors:
Cr  0.819  0.736  0.000
Os  0.231  0.820  0.495
Os  0.736  0.325  0.505
Ru  0.240  0.316  0.500
Ru  0.320  0.739  0.000
Ru  0.817  0.236  0.000
Ru  0.740  0.816  0.500
Ru  0.320  0.236  0.000

20.
A geometry-optimized CrOsRu structure, computed with PBE.

Calculated values
Its energy of formation is 0.4 eV per formula unit. The space-group type is Imm2 (44). For the energy above the most stable polymorph in this dataset, the calculation gives 27.1 meV per atom.

a b c (Å): 4.633 4.633 4.633
angles (deg): 146.35 132.31 59.63
Sites, in units of the cell vectors:
Cr  0.999  0.999  0.000
Os  0.337  0.337  0.000
Ru  0.664  0.664  0.000